Entry 1:
A plane-wave DFT calculation with GGA-PBE was carried out for a geometry-optimized AcCeTl4 structure.

Formation energy from the elements, eV per atom: -0.13
Density of states at the Fermi level, states/eV/atom: 1.855
Distance to the lowest polymorph of the same formula, eV/atom: 0.000
Spin magnetization, μB/cell: 1.564
Crystal system: cubic

POSCAR file:
```
AcCeTl4
1.0
0.0000 4.5128 4.5128
4.5128 0.0000 4.5128
4.5128 4.5128 0.0000
Ac Ce Tl
1 1 4
direct
0.0000 0.0000 0.0000
0.7500 0.7500 0.7500
0.3753 0.3753 0.3753
0.3753 0.3753 0.8741
0.3753 0.8741 0.3753
0.8741 0.3753 0.3753
```

=====

Entry 2:
A plane-wave DFT calculation with GGA-PBE was carried out for a geometry-optimized Ac5CeTl4 structure.

Formation energy from the elements, eV per atom: -0.24
Density of states at the Fermi level, states/eV/atom: 1.401
Distance to the lowest polymorph of the same formula, eV/atom: 0.000
Spin magnetization, μB/cell: 0.860
Crystal system: tetragonal

POSCAR file:
```
Ac5CeTl4
1.0
3.9085 0.0000 0.0000
0.0000 3.9085 0.0000
0.0000 0.0000 23.4163
Ac Ce Tl
5 1 4
direct
0.0000 0.0000 0.0000
0.0000 0.0000 0.1965
0.0000 0.0000 0.3913
0.0000 0.0000 0.6087
0.0000 0.0000 0.8035
0.5000 0.5000 0.5000
0.5000 0.5000 0.0986
0.5000 0.5000 0.2945
0.5000 0.5000 0.7055
0.5000 0.5000 0.9014
```

=====

Entry 3:
A plane-wave DFT calculation with GGA-PBE was carried out for a geometry-optimized Ac2CeTl6 structure.

Formation energy from the elements, eV per atom: -0.22
Density of states at the Fermi level, states/eV/atom: 1.323
Distance to the lowest polymorph of the same formula, eV/atom: 0.000
Spin magnetization, μB/cell: 1.094
Crystal system: hexagonal

POSCAR file:
```
Ac2CeTl6
1.0
9.3166 0.0000 0.0000
-4.6583 8.0684 0.0000
0.0000 0.0000 3.7574
Ac Ce Tl
2 1 6
direct
0.3333 0.6667 0.0000
0.6667 0.3333 0.0000
0.0000 0.0000 0.0000
0.0000 0.3288 0.5000
0.0000 0.6712 0.5000
0.3288 0.0000 0.5000
0.3288 0.3288 0.5000
0.6712 0.0000 0.5000
0.6712 0.6712 0.5000
```

=====

Entry 4:
A plane-wave DFT calculation with GGA-PBE was carried out for a geometry-optimized AcCeTl5 structure.

Formation energy from the elements, eV per atom: -0.10
Density of states at the Fermi level, states/eV/atom: 1.271
Spin magnetization, μB/cell: 0.783
Crystal system: tetragonal

POSCAR file:
```
AcCeTl5
1.0
5.4471 0.0000 0.0000
0.0000 5.4471 0.0000
0.0000 0.0000 7.7569
Ac Ce Tl
1 1 5
direct
0.0000 0.0000 0.0000
0.5000 0.5000 0.5000
0.0000 0.5000 0.2755
0.0000 0.5000 0.7245
0.5000 0.0000 0.2755
0.5000 0.0000 0.7245
0.5000 0.5000 0.0000
```

=====

Entry 5:
A plane-wave DFT calculation with GGA-PBE was carried out for a geometry-optimized AcCe2Tl3 structure.

Formation energy from the elements, eV per atom: -0.25
Density of states at the Fermi level, states/eV/atom: 2.831
Spin magnetization, μB/cell: 2.681
Crystal system: tetragonal

POSCAR file:
```
AcCe2Tl3
1.0
3.6421 0.0000 0.0000
0.0000 3.6421 0.0000
0.0000 0.0000 13.8955
Ac Ce Tl
1 2 3
direct
0.0000 0.0000 0.0000
0.0000 0.0000 0.3391
0.0000 0.0000 0.6609
0.5000 0.5000 0.1787
0.5000 0.5000 0.5000
0.5000 0.5000 0.8213
```

=====

Entry 6:
A plane-wave DFT calculation with GGA-PBE was carried out for a geometry-optimized AcCe4Tl structure.

Formation energy from the elements, eV per atom: 0.13
Density of states at the Fermi level, states/eV/atom: 2.466
Spin magnetization, μB/cell: 1.650
Crystal system: cubic

POSCAR file:
```
AcCe4Tl
1.0
0.0000 4.4989 4.4989
4.4989 0.0000 4.4989
4.4989 4.4989 0.0000
Ac Ce Tl
1 4 1
direct
0.0000 0.0000 0.0000
0.1652 0.6116 0.6116
0.6116 0.1652 0.6116
0.6116 0.6116 0.1652
0.6116 0.6116 0.6116
0.2500 0.2500 0.2500
```

=====

Entry 7:
A plane-wave DFT calculation with GGA-PBE was carried out for a geometry-optimized Ac2CeTl structure.

Formation energy from the elements, eV per atom: -0.05
Density of states at the Fermi level, states/eV/atom: 1.939
Distance to the lowest polymorph of the same formula, eV/atom: 0.003
Spin magnetization, μB/cell: 0.971
Crystal system: tetragonal

POSCAR file:
```
Ac2CeTl
1.0
3.9046 0.0000 0.0000
0.0000 3.9046 0.0000
0.0000 0.0000 9.6542
Ac Ce Tl
2 1 1
direct
0.0000 0.0000 0.2343
0.0000 0.0000 0.7657
0.5000 0.5000 0.5000
0.5000 0.5000 0.0000
```

=====

Entry 8:
A plane-wave DFT calculation with GGA-PBE was carried out for a geometry-optimized Ac3CeTl4 structure.

Formation energy from the elements, eV per atom: -0.18
Density of states at the Fermi level, states/eV/atom: 1.695
Distance to the lowest polymorph of the same formula, eV/atom: 0.126
Spin magnetization, μB/cell: 1.825
Crystal system: orthorhombic

POSCAR file:
```
Ac3CeTl4
1.0
-1.9796 3.7876 9.8528
1.9796 -3.7876 9.8528
1.9796 3.7876 -9.8528
Ac Ce Tl
3 1 4
direct
0.0000 0.0000 0.0000
0.2836 0.7836 0.5000
0.7164 0.2164 0.5000
0.5000 0.5000 0.0000
0.0881 0.3756 0.7125
0.3370 0.6244 0.7125
0.6630 0.3756 0.2875
0.9119 0.6244 0.2875
```